This record from the Alexandria database describes a relaxed structure of Cs3U2SnSe9. The functional is GGA-PBE.

The structure belongs to space group P-3m1 (No. 164); the cell edges are 7.7995, 7.7995 and 9.6689 Å and the angles 90.00°, 90.00° and 120.00°. The asymmetric unit holds Cs at (0.0000, 0.0000, 0.0000), Cs at (0.3333, 0.6667, 0.6595), U at (0.3333, 0.6667, 0.1651), Sn at (0.0000, 0.0000, 0.5000), Se at (0.0000, 0.5000, 0.0000) and Se at (0.1720, 0.3440, 0.3179).

Its crystal system is trigonal. The energy relative to the elements, uncorrected is -0.982 eV/atom.

---

This record from the Alexandria database describes a relaxed structure of BaSnRh2Cl. The functional is GGA-PBE.

The structure belongs to space group P4/mmm (No. 123); the cell edges are 4.708, 4.708 and 5.588 Å and the angles 90.00°, 90.00° and 90.00°. The asymmetric unit holds Ba at (0.000, 0.000, 0.000), Sn at (0.500, 0.500, 0.000), Rh at (0.000, 0.500, 0.500) and Cl at (0.000, 0.000, 0.500).

Its crystal system is tetragonal. The energy relative to the elements, uncorrected is 0.224 eV/atom.

---

This record from the Alexandria database describes a relaxed structure of Cd2PbAu. The functional is GGA-PBE.

The structure belongs to space group Immm (No. 71); the cell edges are 3.193, 5.591 and 10.725 Å and the angles 90.00°, 90.00° and 90.00°. The asymmetric unit holds Cd at (0.000, 0.000, 0.224), Pb at (0.000, 0.500, 0.000) and Au at (0.000, 0.500, 0.500).

Its crystal system is orthorhombic. As for the energy of formation: -2.6 kJ per mole of atoms.